VASP calculation (PBE) on a relaxed BeBi2Pb crystal.

Cell lengths 7.5888, 7.5888, 7.5888 Å; angles 90.00, 90.00, 90.00 degrees
Closest atoms and distances in Å follow each position.
Space group Fm-3m (No. 225)
Symmetry-distinct sites (fractional):
1 Be 0.0000 0.0000 0.0000 [4 per cell]  8 Bi 3.29
2 Bi 0.2500 0.2500 0.2500 [8 per cell]  4 Pb 3.29, 4 Be 3.29
3 Pb 0.0000 0.0000 0.5000 [4 per cell]  8 Bi 3.29

ρ in g/cm³: 9.638
Distance to the lowest polymorph of the same formula in eV/atom: 0.289
V in Å³ per atom: 27.3
Energy in eV for the cell shown: -51.81
Spin magnetization in μB/cell: 0.00
ΔH_f (0 K) in eV per atom: 0.56
Crystal system: cubic
DOS at the Fermi energy in states/eV/atom: 0.604


VASP calculation (PBE) on a relaxed BeBi3Pb crystal.

Cell lengths 5.9562, 5.9562, 5.9562 Å; angles 90.00, 90.00, 90.00 degrees
Closest atoms and distances in Å follow each position.
Space group Pm-3m (No. 221)
Symmetry-distinct sites (fractional):
1 Be 0.0000 0.0000 0.0000 [1 per cell]  12 Bi 4.21
2 Bi 0.0000 0.5000 0.5000 [3 per cell]  2 Pb 2.98
3 Pb 0.5000 0.5000 0.5000 [1 per cell]  6 Bi 2.98

ρ in g/cm³: 6.626
Distance to the lowest polymorph of the same formula in eV/atom: 1.001
V in Å³ per atom: 42.3
Energy in eV for the cell shown: -12.23
Spin magnetization in μB/cell: 0.00
ΔH_f (0 K) in eV per atom: 1.37
Crystal system: cubic
DOS at the Fermi energy in states/eV/atom: 1.530


VASP calculation (PBE) on a relaxed BeBiPb3 crystal.

Cell lengths 6.0866, 6.0866, 6.0866 Å; angles 90.00, 90.00, 90.00 degrees
Closest atoms and distances in Å follow each position.
Space group Pm-3m (No. 221)
Symmetry-distinct sites (fractional):
1 Be 0.0000 0.0000 0.0000 [1 per cell]  12 Pb 4.30
2 Bi 0.5000 0.5000 0.5000 [1 per cell]  6 Pb 3.04
3 Pb 0.0000 0.5000 0.5000 [3 per cell]  2 Bi 3.04

ρ in g/cm³: 6.183
Distance to the lowest polymorph of the same formula in eV/atom: 0.911
V in Å³ per atom: 45.1
Energy in eV for the cell shown: -12.74
Spin magnetization in μB/cell: 0.00
ΔH_f (0 K) in eV per atom: 1.20
Crystal system: cubic
DOS at the Fermi energy in states/eV/atom: 0.911


VASP calculation (PBE) on a relaxed BeBi2Pb crystal.

Cell lengths 6.3853, 6.3853, 12.9454 Å; angles 90.00, 90.00, 90.00 degrees
Closest atoms and distances in Å follow each position.
Space group I-42d (No. 122)
Symmetry-distinct sites (fractional):
1 Be 0.0000 0.0000 0.0000 [4 per cell]  4 Bi 2.55
2 Bi 0.1809 0.2500 0.1250 [8 per cell]  2 Be 2.55
3 Pb 0.0000 0.0000 0.5000 [4 per cell]  4 Bi 3.05

ρ in g/cm³: 7.981
Distance to the lowest polymorph of the same formula in eV/atom: 0.000
V in Å³ per atom: 33.0
Energy in eV for the cell shown: -56.43
Spin magnetization in μB/cell: 0.00
ΔH_f (0 K) in eV per atom: 0.27
Crystal system: tetragonal
DOS at the Fermi energy in states/eV/atom: 0.126


VASP calculation (PBE) on a relaxed Be2BiPb crystal.

Cell lengths 6.9361, 6.9361, 6.9361 Å; angles 90.00, 90.00, 90.00 degrees
Closest atoms and distances in Å follow each position.
Space group Fm-3m (No. 225)
Symmetry-distinct sites (fractional):
1 Be 0.2500 0.2500 0.2500 [8 per cell]  4 Pb 3.00, 4 Bi 3.00
2 Bi 0.0000 0.0000 0.0000 [4 per cell]  8 Be 3.00
3 Pb 0.0000 0.0000 0.5000 [4 per cell]  8 Be 3.00

ρ in g/cm³: 8.643
Distance to the lowest polymorph of the same formula in eV/atom: 0.115
V in Å³ per atom: 20.9
Energy in eV for the cell shown: -47.42
Spin magnetization in μB/cell: 0.00
ΔH_f (0 K) in eV per atom: 0.80
Crystal system: cubic
DOS at the Fermi energy in states/eV/atom: 0.412


VASP calculation (PBE) on a relaxed BeBiPb2 crystal.

Cell lengths 7.6282, 7.6282, 7.6282 Å; angles 90.00, 90.00, 90.00 degrees
Closest atoms and distances in Å follow each position.
Space group Fm-3m (No. 225)
Symmetry-distinct sites (fractional):
1 Be 0.0000 0.0000 0.0000 [4 per cell]  8 Pb 3.30
2 Bi 0.0000 0.0000 0.5000 [4 per cell]  8 Pb 3.30
3 Pb 0.2500 0.2500 0.2500 [8 per cell]  4 Bi 3.30, 4 Be 3.30

ρ in g/cm³: 9.463
Distance to the lowest polymorph of the same formula in eV/atom: 0.153
V in Å³ per atom: 27.7
Energy in eV for the cell shown: -51.03
Spin magnetization in μB/cell: 0.00
ΔH_f (0 K) in eV per atom: 0.57
Crystal system: cubic
DOS at the Fermi energy in states/eV/atom: 0.623


VASP calculation (PBE) on a relaxed BeBiPb2 crystal.

Cell lengths 6.1991, 6.1991, 13.5475 Å; angles 90.00, 90.00, 90.00 degrees
Closest atoms and distances in Å follow each position.
Space group I-42d (No. 122)
Symmetry-distinct sites (fractional):
1 Be 0.0000 0.0000 0.0000 [4 per cell]  4 Pb 2.52
2 Bi 0.0000 0.0000 0.5000 [4 per cell]  4 Pb 3.08
3 Pb 0.1684 0.2500 0.1250 [8 per cell]  2 Be 2.52

ρ in g/cm³: 8.068
Distance to the lowest polymorph of the same formula in eV/atom: 0.000
V in Å³ per atom: 32.5
Energy in eV for the cell shown: -53.48
Spin magnetization in μB/cell: 0.00
ΔH_f (0 K) in eV per atom: 0.41
Crystal system: tetragonal
DOS at the Fermi energy in states/eV/atom: 0.450


VASP calculation (PBE) on a relaxed BeBiPb3 crystal.

Cell lengths 5.2005, 5.2005, 5.2005 Å; angles 90.00, 90.00, 90.00 degrees
Closest atoms and distances in Å follow each position.
Space group Pm-3m (No. 221)
Symmetry-distinct sites (fractional):
1 Be 0.0000 0.0000 0.0000 [1 per cell]  6 Pb 2.60
2 Bi 0.5000 0.5000 0.5000 [1 per cell]  12 Pb 3.68
3 Pb 0.0000 0.0000 0.5000 [3 per cell]  2 Be 2.60

ρ in g/cm³: 9.912
Distance to the lowest polymorph of the same formula in eV/atom: 0.000
V in Å³ per atom: 28.1
Energy in eV for the cell shown: -17.30
Spin magnetization in μB/cell: 0.00
ΔH_f (0 K) in eV per atom: 0.29
Crystal system: cubic
DOS at the Fermi energy in states/eV/atom: 0.395